A plane-wave DFT calculation with PBE-GGA was carried out for a relaxed structure of HoPuCdPd.

Geometry as CIF:
```
data_HoPuCdPd
_chemical_formula_sum 'Ho4 Pu4 Cd4 Pd4'
_space_group_name_H-M_alt 'F -4 3 m'
_space_group_IT_number 216
_space_group_name_Hall 'F -4 2 3'
_cell_length_a 7.2730
_cell_length_b 7.2730
_cell_length_c 7.2730
_cell_angle_alpha 90.00
_cell_angle_beta 90.00
_cell_angle_gamma 90.00
loop_
_atom_site_label
_atom_site_type_symbol
_atom_site_fract_x
_atom_site_fract_y
_atom_site_fract_z
Ho1 Ho 0.0000 0.0000 0.0000
Pu1 Pu 0.0000 0.0000 0.5000
Cd1 Cd 0.2500 0.2500 0.2500
Pd1 Pd 0.2500 0.2500 0.7500
```

***

A plane-wave DFT calculation with PBE-GGA was carried out for a relaxed structure of HoCdPdRh.

Geometry as CIF:
```
data_HoCdPdRh
_chemical_formula_sum 'Ho4 Cd4 Pd4 Rh4'
_space_group_name_H-M_alt 'F -4 3 m'
_space_group_IT_number 216
_space_group_name_Hall 'F -4 2 3'
_cell_length_a 6.6816
_cell_length_b 6.6816
_cell_length_c 6.6816
_cell_angle_alpha 90.00
_cell_angle_beta 90.00
_cell_angle_gamma 90.00
loop_
_atom_site_label
_atom_site_type_symbol
_atom_site_fract_x
_atom_site_fract_y
_atom_site_fract_z
Ho1 Ho 0.0000 0.0000 0.0000
Cd1 Cd 0.0000 0.0000 0.5000
Pd1 Pd 0.2500 0.2500 0.7500
Rh1 Rh 0.2500 0.2500 0.2500
```

***

A plane-wave DFT calculation with PBE-GGA was carried out for a relaxed structure of Ho5Cd2PdRh2.

Geometry as CIF:
```
data_Ho5Cd2PdRh2
_chemical_formula_sum 'Ho10 Cd4 Pd2 Rh4'
_space_group_name_H-M_alt 'P 4/m b m'
_space_group_IT_number 127
_space_group_name_Hall '-P 4 2ab'
_cell_length_a 11.4856
_cell_length_b 11.4856
_cell_length_c 3.6249
_cell_angle_alpha 90.00
_cell_angle_beta 90.00
_cell_angle_gamma 90.00
loop_
_atom_site_label
_atom_site_type_symbol
_atom_site_fract_x
_atom_site_fract_y
_atom_site_fract_z
Ho1 Ho 0.0000 0.5000 0.0000
Ho2 Ho 0.0752 0.1978 0.0000
Cd1 Cd 0.1739 0.6739 0.5000
Pd1 Pd 0.0000 0.0000 0.5000
Rh1 Rh 0.1324 0.3676 0.5000
```

***

A plane-wave DFT calculation with PBE-GGA was carried out for a relaxed structure of Ho4CdPd2Ru.

Geometry as CIF:
```
data_Ho4CdPd2Ru
_chemical_formula_sum 'Ho12 Cd3 Pd6 Ru3'
_space_group_name_H-M_alt 'R -3 m'
_space_group_IT_number 166
_space_group_name_Hall '-R 3 2"'
_cell_length_a 4.9822
_cell_length_b 4.9822
_cell_length_c 24.4806
_cell_angle_alpha 90.00
_cell_angle_beta 90.00
_cell_angle_gamma 120.00
loop_
_atom_site_label
_atom_site_type_symbol
_atom_site_fract_x
_atom_site_fract_y
_atom_site_fract_z
Ho1 Ho 0.0000 0.0000 0.1164
Ho2 Ho 0.0000 0.0000 0.3685
Cd1 Cd 0.0000 0.0000 0.5000
Pd1 Pd 0.0000 0.0000 0.2483
Ru1 Ru 0.0000 0.0000 0.0000
```

***

A plane-wave DFT calculation with PBE-GGA was carried out for a relaxed structure of Ho4CdPdRu2.

Geometry as CIF:
```
data_Ho4CdPdRu2
_chemical_formula_sum 'Ho12 Cd3 Pd3 Ru6'
_space_group_name_H-M_alt 'R -3 m'
_space_group_IT_number 166
_space_group_name_Hall '-R 3 2"'
_cell_length_a 4.9262
_cell_length_b 4.9262
_cell_length_c 24.1848
_cell_angle_alpha 90.00
_cell_angle_beta 90.00
_cell_angle_gamma 120.00
loop_
_atom_site_label
_atom_site_type_symbol
_atom_site_fract_x
_atom_site_fract_y
_atom_site_fract_z
Ho1 Ho 0.0000 0.0000 0.1210
Ho2 Ho 0.0000 0.0000 0.3719
Cd1 Cd 0.0000 0.0000 0.5000
Pd1 Pd 0.0000 0.0000 0.0000
Ru1 Ru 0.0000 0.0000 0.2490
```

***

A plane-wave DFT calculation with PBE-GGA was carried out for a relaxed structure of SmHoCd2Pd4.

Geometry as CIF:
```
data_SmHoCd2Pd4
_chemical_formula_sum 'Sm3 Ho3 Cd6 Pd12'
_space_group_name_H-M_alt 'R -3 m'
_space_group_IT_number 166
_space_group_name_Hall '-R 3 2"'
_cell_length_a 4.8109
_cell_length_b 4.8109
_cell_length_c 23.7077
_cell_angle_alpha 90.00
_cell_angle_beta 90.00
_cell_angle_gamma 120.00
loop_
_atom_site_label
_atom_site_type_symbol
_atom_site_fract_x
_atom_site_fract_y
_atom_site_fract_z
Sm1 Sm 0.0000 0.0000 0.0000
Ho1 Ho 0.0000 0.0000 0.5000
Cd1 Cd 0.0000 0.0000 0.2496
Pd1 Pd 0.0000 0.0000 0.1262
Pd2 Pd 0.0000 0.0000 0.3777
```

***

A plane-wave DFT calculation with PBE-GGA was carried out for a relaxed structure of SmHoCdPd.

Geometry as CIF:
```
data_SmHoCdPd
_chemical_formula_sum 'Sm4 Ho4 Cd4 Pd4'
_space_group_name_H-M_alt 'F -4 3 m'
_space_group_IT_number 216
_space_group_name_Hall 'F -4 2 3'
_cell_length_a 7.3039
_cell_length_b 7.3039
_cell_length_c 7.3039
_cell_angle_alpha 90.00
_cell_angle_beta 90.00
_cell_angle_gamma 90.00
loop_
_atom_site_label
_atom_site_type_symbol
_atom_site_fract_x
_atom_site_fract_y
_atom_site_fract_z
Sm1 Sm 0.0000 0.0000 0.0000
Ho1 Ho 0.0000 0.0000 0.5000
Cd1 Cd 0.2500 0.2500 0.7500
Pd1 Pd 0.2500 0.2500 0.2500
```

***

A plane-wave DFT calculation with PBE-GGA was carried out for a relaxed structure of SmHo2CdPd4.

Geometry as CIF:
```
data_SmHo2CdPd4
_chemical_formula_sum 'Sm3 Ho6 Cd3 Pd12'
_space_group_name_H-M_alt 'R -3 m'
_space_group_IT_number 166
_space_group_name_Hall '-R 3 2"'
_cell_length_a 4.8979
_cell_length_b 4.8979
_cell_length_c 23.9821
_cell_angle_alpha 90.00
_cell_angle_beta 90.00
_cell_angle_gamma 120.00
loop_
_atom_site_label
_atom_site_type_symbol
_atom_site_fract_x
_atom_site_fract_y
_atom_site_fract_z
Sm1 Sm 0.0000 0.0000 0.0000
Ho1 Ho 0.0000 0.0000 0.2432
Cd1 Cd 0.0000 0.0000 0.5000
Pd1 Pd 0.0000 0.0000 0.1222
Pd2 Pd 0.0000 0.0000 0.3752
```

***

A plane-wave DFT calculation with PBE-GGA was carried out for a relaxed structure of HoCdSnPd.

Geometry as CIF:
```
data_HoCdSnPd
_chemical_formula_sum 'Ho4 Cd4 Sn4 Pd4'
_space_group_name_H-M_alt 'F -4 3 m'
_space_group_IT_number 216
_space_group_name_Hall 'F -4 2 3'
_cell_length_a 7.0090
_cell_length_b 7.0090
_cell_length_c 7.0090
_cell_angle_alpha 90.00
_cell_angle_beta 90.00
_cell_angle_gamma 90.00
loop_
_atom_site_label
_atom_site_type_symbol
_atom_site_fract_x
_atom_site_fract_y
_atom_site_fract_z
Ho1 Ho 0.0000 0.0000 0.0000
Cd1 Cd 0.2500 0.2500 0.2500
Sn1 Sn 0.0000 0.0000 0.5000
Pd1 Pd 0.2500 0.2500 0.7500
```

***

A plane-wave DFT calculation with PBE-GGA was carried out for a relaxed structure of TbHo2CdPd4.

Geometry as CIF:
```
data_TbHo2CdPd4
_chemical_formula_sum 'Tb3 Ho6 Cd3 Pd12'
_space_group_name_H-M_alt 'R -3 m'
_space_group_IT_number 166
_space_group_name_Hall '-R 3 2"'
_cell_length_a 4.8750
_cell_length_b 4.8750
_cell_length_c 23.8818
_cell_angle_alpha 90.00
_cell_angle_beta 90.00
_cell_angle_gamma 120.00
loop_
_atom_site_label
_atom_site_type_symbol
_atom_site_fract_x
_atom_site_fract_y
_atom_site_fract_z
Tb1 Tb 0.0000 0.0000 0.0000
Ho1 Ho 0.0000 0.0000 0.2439
Cd1 Cd 0.0000 0.0000 0.5000
Pd1 Pd 0.0000 0.0000 0.1215
Pd2 Pd 0.0000 0.0000 0.3730
```

***

A plane-wave DFT calculation with PBE-GGA was carried out for a relaxed structure of TbHoCdPd.

Geometry as CIF:
```
data_TbHoCdPd
_chemical_formula_sum 'Tb4 Ho4 Cd4 Pd4'
_space_group_name_H-M_alt 'F -4 3 m'
_space_group_IT_number 216
_space_group_name_Hall 'F -4 2 3'
_cell_length_a 7.2434
_cell_length_b 7.2434
_cell_length_c 7.2434
_cell_angle_alpha 90.00
_cell_angle_beta 90.00
_cell_angle_gamma 90.00
loop_
_atom_site_label
_atom_site_type_symbol
_atom_site_fract_x
_atom_site_fract_y
_atom_site_fract_z
Tb1 Tb 0.0000 0.0000 0.0000
Ho1 Ho 0.0000 0.0000 0.5000
Cd1 Cd 0.2500 0.2500 0.2500
Pd1 Pd 0.2500 0.2500 0.7500
```

The offset from the most stable computed form is 55.1 meV per atom.

***

A plane-wave DFT calculation with PBE-GGA was carried out for a relaxed structure of TbHoCdPd.

Geometry as CIF:
```
data_TbHoCdPd
_chemical_formula_sum 'Tb1 Ho1 Cd1 Pd1'
_space_group_name_H-M_alt 'P 4 m m'
_space_group_IT_number 99
_cell_length_a 3.5986
_cell_length_b 3.5986
_cell_length_c 7.3580
_cell_angle_alpha 90.00
_cell_angle_beta 90.00
_cell_angle_gamma 90.00
loop_
_space_group_symop_operation_xyz
'x,y,z'
'-y,x,z'
'-x,-y,z'
'y,-x,z'
'-x,y,z'
'y,x,z'
'x,-y,z'
'-y,-x,z'
loop_
_atom_site_label
_atom_site_type_symbol
_atom_site_fract_x
_atom_site_fract_y
_atom_site_fract_z
Tb1 Tb 0.0000 0.0000 0.0000
Ho1 Ho 0.0000 0.0000 0.5459
Cd1 Cd 0.5000 0.5000 0.2762
Pd1 Pd 0.5000 0.5000 0.7671
```

The offset from the most stable computed form is 0.0 meV per atom.

***

| no. | ΔH_f (0 K) (meV/atom) | M_tot (μB/atom) |
| --- | --- | --- |
| 1 | -299 | 1.388 |
| 2 | -669 | 0.000 |
| 3 | -614 | 0.000 |
| 4 | -631 | 0.000 |
| 5 | -500 | 0.000 |
| 6 | -707 | 0.000 |
| 7 | -526 | 0.000 |
| 8 | -784 | 0.000 |
| 9 | -518 | 0.000 |
| 10 | -814 | 0.000 |
| 11 | -550 | 0.000 |
| 12 | -605 | 0.000 |